No. 1
Density functional theory data (PBE) for an optimized crystal structure of AcZnB.

Cell lengths 4.5698, 4.5698, 4.5698 Å; angles 60.00, 60.00, 60.00 degrees
Closest atoms and distances in Å follow each position.
Positions (direct):
B 0.0000 0.0000 0.0000  4 Zn 2.80, 4 Ac 2.80
Ac 0.2500 0.2500 0.2500  4 B 2.80
Zn 0.7500 0.7500 0.7500  4 B 2.80

Values from the calculation:
As for the total energy: -11.48 eV/cell.

***

No. 2
Density functional theory data (PBE) for an optimized crystal structure of Gd2Pu.

Cell lengths 8.8081, 8.8081, 8.8081 Å; angles 60.00, 60.00, 60.00 degrees
Closest atoms and distances in Å follow each position.
Positions (direct):
Gd 0.1250 0.1250 0.1250  2 Pu 2.70
Gd 0.1250 0.1250 0.6250  2 Pu 2.70
Pu 0.0000 0.0000 0.0000  4 Gd 2.70
Pu 0.2500 0.2500 0.2500  4 Gd 2.70
Gd 0.6250 0.1250 0.1250  2 Pu 2.70
Gd 0.1250 0.6250 0.1250  2 Pu 2.70

Values from the calculation:
As for the total energy: -33.29 eV/cell. The value obtained for the formation energy is 2.26 eV/atom.

***

No. 3
Density functional theory data (PBE) for an optimized crystal structure of KSmTe3Pb.

Cell lengths 8.5722, 8.5722, 12.7216 Å; angles 90.00, 90.00, 148.55 degrees
Closest atoms and distances in Å follow each position.
Positions (direct):
Te 0.4463 0.5537 0.2500  2 Pb 3.06, 2 Sm 3.30
Pb 0.0668 0.9332 0.2500  4 Te 3.06-3.13
K 0.2260 0.7740 0.7500  4 Te 3.67-3.76
Te 0.8679 0.1321 0.9811  1 Pb 3.13, 2 Sm 3.19
K 0.7740 0.2260 0.2500  4 Te 3.67-3.76
Te 0.1321 0.8679 0.0189  1 Pb 3.13, 2 Sm 3.19
Te 0.5537 0.4463 0.7500  2 Pb 3.06, 2 Sm 3.30
Sm 0.5000 0.5000 0.5000  6 Te 3.19-3.30
Pb 0.9332 0.0668 0.7500  4 Te 3.06-3.13
Te 0.1321 0.8679 0.4811  1 Pb 3.13, 2 Sm 3.19
Te 0.8679 0.1321 0.5189  1 Pb 3.13, 2 Sm 3.19
Sm 0.5000 0.5000 0.0000  6 Te 3.19-3.30

Values from the calculation:
As for the total energy: -48.62 eV/cell.

***

No. 4
Density functional theory data (PBE) for an optimized crystal structure of Tm3InC.

Cell lengths 4.8319, 4.8319, 4.8319 Å; angles 90.00, 90.00, 90.00 degrees
Closest atoms and distances in Å follow each position.
Positions (direct):
Tm 0.0000 0.5000 0.0000  2 C 2.42
Tm 0.5000 0.0000 0.0000  2 C 2.42
C 0.0000 0.0000 0.0000  6 Tm 2.42
Tm 0.0000 0.0000 0.5000  2 C 2.42
In 0.5000 0.5000 0.5000  12 Tm 3.42

Values from the calculation:
As for the total energy: -28.16 eV/cell.

***

No. 5
Density functional theory data (PBE) for an optimized crystal structure of CsHfF5.

Cell lengths 7.6007, 7.7904, 7.7969 Å; angles 90.00, 120.82, 90.00 degrees
Closest atoms and distances in Å follow each position.
Positions (direct):
F 0.2941 0.7869 0.4309  1 Hf 2.00
F 0.2930 0.2865 0.3629  1 Hf 2.00
Cs 0.5907 0.5003 0.2955  5 F 2.70-2.90
F 0.7070 0.7135 0.6371  1 Hf 2.00
F 0.1770 0.0006 0.5881  2 Hf 2.13, 1 F 2.31
F 0.2930 0.2135 0.8629  1 Hf 2.00
F 0.7059 0.2869 0.0691  1 Hf 2.00
Hf 0.9996 0.3374 0.1628  8 F 2.00-2.16
Cs 0.5907 0.9997 0.7955  5 F 2.70-2.90
Cs 0.4093 0.0003 0.2045  5 F 2.70-2.90
F 0.8230 0.9994 0.4119  2 Hf 2.13, 1 F 2.31
F 0.0011 0.7922 0.0642  2 Hf 2.04-2.16
F 0.2941 0.7131 0.9309  1 Hf 2.00
F 0.0005 0.5647 0.2919  2 Hf 2.04-2.15
F 0.9995 0.4353 0.7081  2 Hf 2.04-2.15
F 0.8230 0.5006 0.9119  2 Hf 2.13, 1 F 2.31
F 0.0011 0.7078 0.5642  2 Hf 2.04-2.16
F 0.7070 0.7865 0.1372  1 Hf 2.00
Hf 0.0004 0.6626 0.8372  8 F 2.00-2.16
F 0.0005 0.9353 0.7919  2 Hf 2.04-2.15
F 0.9989 0.2922 0.4358  2 Hf 2.04-2.16
Hf 0.0004 0.8374 0.3372  8 F 2.00-2.16
F 0.1770 0.4994 0.0881  2 Hf 2.13, 1 F 2.31
F 0.9995 0.0647 0.2081  2 Hf 2.04-2.15
F 0.7059 0.2131 0.5691  1 Hf 2.00
Cs 0.4093 0.4997 0.7045  5 F 2.70-2.90
Hf 0.9996 0.1626 0.6628  8 F 2.00-2.16
F 0.9989 0.2078 0.9358  2 Hf 2.04-2.16

Values from the calculation:
As for the total energy: -179.57 eV/cell.

***

No. 6
Density functional theory data (PBE) for an optimized crystal structure of NiSnMoIr.

Cell lengths 4.4372, 4.4372, 4.4372 Å; angles 60.00, 60.00, 60.00 degrees
Closest atoms and distances in Å follow each position.
Positions (direct):
Ir 0.5000 0.5000 0.5000  4 Ni 2.72, 4 Mo 2.72
Ni 0.7500 0.7500 0.7500  4 Ir 2.72, 4 Sn 2.72
Sn 0.0000 0.0000 0.0000  4 Ni 2.72, 4 Mo 2.72
Mo 0.2500 0.2500 0.2500  4 Ir 2.72, 4 Sn 2.72

Values from the calculation:
As for the total energy: -28.83 eV/cell.

***

No. 7
Density functional theory data (PBE) for an optimized crystal structure of Nd2Ir2C3.

Cell lengths 5.9638, 5.9638, 5.5386 Å; angles 102.15, 102.15, 34.56 degrees
Closest atoms and distances in Å follow each position.
Positions (direct):
Nd 0.3799 0.3799 0.6730  5 C 2.61-2.73
Nd 0.6201 0.6201 0.3270  5 C 2.61-2.73
Ir 0.8627 0.8627 0.1511  3 C 1.93-2.06
Ir 0.1373 0.1373 0.8489  3 C 1.93-2.06
C 0.2786 0.2786 0.2011  3 Ir 2.06-2.24
C 0.0000 0.0000 0.0000  2 Ir 1.93
C 0.7214 0.7214 0.7989  3 Ir 2.06-2.24

Values from the calculation:
As for the total energy: -55.22 eV/cell.

***

No. 8
Density functional theory data (PBE) for an optimized crystal structure of CuAg7.

Cell lengths 2.9161, 5.8375, 8.1209 Å; angles 90.00, 90.00, 90.00 degrees
Closest atoms and distances in Å follow each position.
Positions (direct):
Ag 0.5000 0.7569 0.7592  2 Cu 2.82, 10 Ag 2.84-3.00
Ag 0.5000 0.2431 0.2408  2 Cu 2.82, 10 Ag 2.84-3.00
Ag 0.0000 0.5000 0.5000  12 Ag 2.92-2.97
Ag 0.5000 0.7569 0.2408  2 Cu 2.82, 10 Ag 2.84-3.00
Ag 0.0000 0.0000 0.5000  12 Ag 2.92-2.93
Ag 0.0000 0.5000 0.0000  10 Ag 2.86-2.92, 2 Cu 2.92
Ag 0.5000 0.2431 0.7592  2 Cu 2.82, 10 Ag 2.84-3.00
Cu 0.0000 0.0000 0.0000  10 Ag 2.82-2.92, 2 Cu 2.92

Values from the calculation:
As for the total energy: -23.21 eV/cell. The value obtained for the formation energy is 0.03 eV/atom.